Entry 1:
# VOsPt PBE relaxed
# raw total energy = -54.0 eV per cell
# DFT formation energy = -196 meV per atom
# relative energy among the computed polymorphs = 172 meV per atom
data_VOsPt
_chemical_formula_sum 'V2 Os2 Pt2'
_cell_length_a 2.735
_cell_length_b 2.735
_cell_length_c 11.576
_cell_angle_alpha 90.00
_cell_angle_beta 90.00
_cell_angle_gamma 90.00
_symmetry_space_group_name_H-M 'I 4 m m'
_symmetry_Int_Tables_number 107
_symmetry_space_group_name_Hall 'I 4 -2'
loop_
_atom_site_label
_atom_site_fract_x
_atom_site_fract_y
_atom_site_fract_z
V1 0.000 0.000 0.000
Os1 0.000 0.000 0.654
Pt1 0.000 0.000 0.333

Entry 2:
# V9Os4Pt11 PBE relaxed
# raw total energy = -405.2 eV per cell
# DFT formation energy = -382 meV per atom
data_V9Os4Pt11
_chemical_formula_sum 'V18 Os8 Pt22'
_cell_length_a 10.838
_cell_length_b 16.256
_cell_length_c 3.933
_cell_angle_alpha 90.00
_cell_angle_beta 90.00
_cell_angle_gamma 90.00
_symmetry_space_group_name_H-M 'C m m m'
_symmetry_Int_Tables_number 65
_symmetry_space_group_name_Hall '-C 2 2'
loop_
_atom_site_label
_atom_site_fract_x
_atom_site_fract_y
_atom_site_fract_z
V1 0.000 0.000 0.000
V2 0.124 0.250 0.500
V3 0.126 0.419 0.500
Os1 0.120 0.081 0.500
Pt1 0.000 0.168 0.000
Pt2 0.000 0.335 0.000
Pt3 0.000 0.500 0.000
Pt4 0.248 0.333 0.000
Pt5 0.249 0.500 0.000

Entry 3:
# VOsPt PBE relaxed
# raw total energy = -108.7 eV per cell
# DFT formation energy = -260 meV per atom
# relative energy among the computed polymorphs = 109 meV per atom
data_VOsPt
_chemical_formula_sum 'V4 Os4 Pt4'
_cell_length_a 8.196
_cell_length_b 4.749
_cell_length_c 5.217
_cell_angle_alpha 90.00
_cell_angle_beta 122.08
_cell_angle_gamma 90.00
_symmetry_space_group_name_H-M 'C 1 2 1'
_symmetry_Int_Tables_number 5
_symmetry_space_group_name_Hall 'C 2y'
loop_
_atom_site_label
_atom_site_fract_x
_atom_site_fract_y
_atom_site_fract_z
V1 0.000 0.000 0.000
V2 0.000 0.166 0.500
Os1 0.171 0.670 0.505
Pt1 0.169 0.501 0.005

Entry 4:
# V2OsPt2 PBE relaxed
# raw total energy = -84.6 eV per cell
# DFT formation energy = -155 meV per atom
# relative energy among the computed polymorphs = 198 meV per atom
data_V2OsPt2
_chemical_formula_sum 'V4 Os2 Pt4'
_cell_length_a 7.405
_cell_length_b 7.405
_cell_length_c 2.704
_cell_angle_alpha 90.00
_cell_angle_beta 90.00
_cell_angle_gamma 90.00
_symmetry_space_group_name_H-M 'P 4/m b m'
_symmetry_Int_Tables_number 127
_symmetry_space_group_name_Hall '-P 4 2ab'
loop_
_atom_site_label
_atom_site_fract_x
_atom_site_fract_y
_atom_site_fract_z
V1 0.171 0.329 0.000
Os1 0.000 0.000 0.500
Pt1 0.128 0.628 0.500

Number 1: calculated volume 86.6 Å³/cell. Number 2: calculated volume 692.9 Å³/cell. Number 3: calculated volume 172.1 Å³/cell. Number 4: calculated volume 148.3 Å³/cell.